[1]
12
Lattice="3.145 0.000 0.000 -1.573 2.724 0.000 0.000 0.000 25.990" Properties=species:S:1:pos:R:3 comment="Mg2TaCl | the Alexandria database | SCAN | PBEsol geometry" n_ef_per_ev_cell=8.01 polymorph_energy_ev_per_atom=0.000 formation_energy_uncorrected_kj_per_mol_fu=-117 pbc="T T T"
Mg 0.000 0.000 6.348
Mg 0.000 0.000 19.643
Mg 0.000 1.816 10.979
Mg 0.000 1.816 23.674
Mg 1.573 0.908 2.316
Mg 1.573 0.908 15.011
Ta 0.000 0.000 0.000
Ta 0.000 1.816 17.327
Ta 1.573 0.908 8.663
Cl 0.000 0.000 12.995
Cl 0.000 1.816 4.332
Cl 1.573 0.908 21.658



[2]
5
Lattice="4.310 0.000 0.000 0.000 4.310 0.000 0.000 0.000 4.310" Properties=species:S:1:pos:R:3 comment="MgTc3Cl | the Alexandria database | SCAN | PBEsol geometry" n_ef_per_ev_cell=3.38 polymorph_energy_ev_per_atom=0.000 formation_energy_uncorrected_kj_per_mol_fu=437 pbc="T T T"
Mg 0.000 0.000 0.000
Tc 0.000 2.155 2.155
Tc 2.155 0.000 2.155
Tc 2.155 2.155 0.000
Cl 2.155 2.155 2.155